[1]
Computed, not measured: crystalline GdHoB2Ir2N2 at its relaxed geometry at the PBE level of DFT. Values from VASP.

Geometry as Quantum ESPRESSO input:
```
&SYSTEM
  ibrav = 0, nat = 8, ntyp = 5
/
ATOMIC_SPECIES
B 10.81 B.upf
Gd 157.25 Gd.upf
Ho 164.93 Ho.upf
Ir 192.22 Ir.upf
N 14.01 N.upf
CELL_PARAMETERS angstrom
3.747 0.000 0.000
0.000 3.747 0.000
0.000 0.000 7.456
ATOMIC_POSITIONS crystal
B 0.000 0.000 0.344
B 0.500 0.500 0.657
Gd 0.000 0.000 0.837
Ho 0.500 0.500 0.162
Ir 0.500 0.000 0.499
Ir 0.000 0.500 0.499
N 0.000 0.000 0.144
N 0.500 0.500 0.858
```

Output
Spin magnetization ... 0.0 μB/f.u.
Symmetry ... P4mm
VASP energy ... -8.27 eV/atom

=====

[2]
Computed, not measured: crystalline GdHoNi2B2N2 at its relaxed geometry at the PBE level of DFT. Values from VASP.

Geometry as Quantum ESPRESSO input:
```
&SYSTEM
  ibrav = 0, nat = 8, ntyp = 5
/
ATOMIC_SPECIES
B 10.81 B.upf
Gd 157.25 Gd.upf
Ho 164.93 Ho.upf
N 14.01 N.upf
Ni 58.69 Ni.upf
CELL_PARAMETERS angstrom
-2.622 2.241 0.611
-1.257 -0.594 -3.215
-4.188 -5.631 2.679
ATOMIC_POSITIONS crystal
B 0.500 0.500 0.339
B 0.000 0.000 0.660
Gd 0.000 0.000 0.169
Ho 0.500 0.500 0.833
N 0.500 0.500 0.144
N 0.000 0.000 0.854
Ni 0.500 0.000 0.501
Ni 0.000 0.500 0.501
```

Output
Spin magnetization ... 0.0 μB/f.u.
Symmetry ... P4mm
VASP energy ... -7.39 eV/atom

=====

[3]
Computed, not measured: crystalline GdHoB2Pd2N2 at its relaxed geometry at the PBE level of DFT. Values from VASP.

Geometry as Quantum ESPRESSO input:
```
&SYSTEM
  ibrav = 0, nat = 8, ntyp = 5
/
ATOMIC_SPECIES
B 10.81 B.upf
Gd 157.25 Gd.upf
Ho 164.93 Ho.upf
N 14.01 N.upf
Pd 106.42 Pd.upf
CELL_PARAMETERS angstrom
3.704 0.000 0.000
0.000 3.704 0.000
0.000 0.000 7.635
ATOMIC_POSITIONS crystal
B 0.500 0.500 0.326
B 0.000 0.000 0.673
Gd 0.000 0.000 0.163
Ho 0.500 0.500 0.838
N 0.500 0.500 0.138
N 0.000 0.000 0.860
Pd 0.500 0.000 0.501
Pd 0.000 0.500 0.501
```

Output
Spin magnetization ... 0.0 μB/f.u.
Symmetry ... P4mm
VASP energy ... -7.25 eV/atom

=====

[4]
Computed, not measured: crystalline GdHoNi8B2 at its relaxed geometry at the PBE level of DFT. Values from VASP.

Geometry as Quantum ESPRESSO input:
```
&SYSTEM
  ibrav = 0, nat = 12, ntyp = 4
/
ATOMIC_SPECIES
B 10.81 B.upf
Gd 157.25 Gd.upf
Ho 164.93 Ho.upf
Ni 58.69 Ni.upf
CELL_PARAMETERS angstrom
4.988 0.000 0.000
-2.494 4.320 0.000
0.000 0.000 6.979
ATOMIC_POSITIONS crystal
B 0.667 0.333 0.000
B 0.333 0.667 0.000
Gd 0.000 0.000 0.000
Ho 0.000 0.000 0.500
Ni 0.500 0.000 0.209
Ni 0.000 0.500 0.209
Ni 0.500 0.500 0.209
Ni 0.667 0.333 0.500
Ni 0.333 0.667 0.500
Ni 0.500 0.000 0.791
Ni 0.000 0.500 0.791
Ni 0.500 0.500 0.791
```

Output
Spin magnetization ... 0.0 μB/f.u.
Symmetry ... P6/mmm
Energy above the most stable polymorph in this dataset ... 0.011 eV per atom

=====

[5]
Computed, not measured: crystalline GdHoNi8B2 at its relaxed geometry at the PBE level of DFT. Values from VASP.

Geometry as Quantum ESPRESSO input:
```
&SYSTEM
  ibrav = 0, nat = 12, ntyp = 4
/
ATOMIC_SPECIES
B 10.81 B.upf
Gd 157.25 Gd.upf
Ho 164.93 Ho.upf
Ni 58.69 Ni.upf
CELL_PARAMETERS angstrom
-4.563 -0.831 1.832
3.975 -0.252 3.000
-0.659 6.795 1.443
ATOMIC_POSITIONS crystal
B 0.667 0.333 0.000
B 0.333 0.667 0.000
Gd 0.000 0.000 0.500
Ho 0.000 0.000 0.000
Ni 0.500 0.000 0.207
Ni 0.000 0.500 0.207
Ni 0.500 0.500 0.207
Ni 0.667 0.333 0.500
Ni 0.333 0.667 0.500
Ni 0.500 0.000 0.793
Ni 0.000 0.500 0.793
Ni 0.500 0.500 0.793
```

Output
Spin magnetization ... 0.0 μB/f.u.
Symmetry ... P6/mmm
Energy above the most stable polymorph in this dataset ... 0.000 eV per atom

=====

[6]
Computed, not measured: crystalline GdHoNi2B2P2 at its relaxed geometry at the PBE level of DFT. Values from VASP.

Geometry as Quantum ESPRESSO input:
```
&SYSTEM
  ibrav = 0, nat = 8, ntyp = 5
/
ATOMIC_SPECIES
B 10.81 B.upf
Gd 157.25 Gd.upf
Ho 164.93 Ho.upf
Ni 58.69 Ni.upf
P 30.97 P.upf
CELL_PARAMETERS angstrom
3.898 0.000 0.000
0.000 3.898 0.000
0.000 0.000 7.846
ATOMIC_POSITIONS crystal
B 0.500 0.500 0.406
B 0.000 0.000 0.592
Gd 0.000 0.000 0.207
Ho 0.500 0.500 0.795
Ni 0.500 0.000 0.501
Ni 0.000 0.500 0.501
P 0.500 0.500 0.157
P 0.000 0.000 0.841
```

Output
Spin magnetization ... 0.0 μB/f.u.
Symmetry ... P4mm
VASP energy ... -6.32 eV/atom